{
  "formula": "ZrCoSiRu2",
  "functional": "GGA-PBE",
  "state": "relaxed",
  "lattice": [[-2.042, -0.430, 4.028], [2.084, -3.471, 0.686], [3.333, 2.385, 1.944]],
  "species": ["Zr", "Co", "Ru", "Ru", "Si"],
  "frac_coords": [[0.500, 0.500, 0.500], [0.000, 0.000, 0.000], [0.500, 0.000, 0.000], [0.000, 0.000, 0.500], [0.000, 0.500, 0.000]],
  "total_magnetization_mub_per_cell": 2.485,
  "raw_formation_energy_ev_per_atom": 0.48,
  "n_ef_per_ev_cell": 4.93
}